Compound: NaCo2Cl
Source: the Alexandria database
Functional: SCAN
Structure: PBEsol geometry

Values from the calculation:
The calculation puts the volume at 148 Å³/cell. As for the raw formation energy: 557 meV/atom. The value obtained for the density is 3.95 g/cm³. The total moment comes out at 1.9 μB/f.u. Its space group is I4_1/amd, No. 141. The value obtained for the energy above the lowest structure with this stoichiometry is 0.0000 eV per atom. The density of states at the Fermi level comes out at 0.72 states/eV/atom.

a b c (Å): 7.7135 7.7135 7.7135
angles (deg): 145.25 145.25 49.96
Element x y z (fractional)
Na: 0.3750 0.6250 0.7500
Na: 0.6250 0.3750 0.2500
Co: 0.0000 0.0000 0.0000
Co: 0.0000 0.0000 0.5000
Co: 0.0000 0.5000 0.0000
Co: 0.5000 0.0000 0.5000
Cl: 0.1250 0.8750 0.2500
Cl: 0.8750 0.1250 0.7500